# Na4TiAs2O9

An optimized crystal structure of Na4TiAs2O9 (PBEsol, the Alexandria database).

Unit cell a=7.211 b=7.760 c=8.723 alpha=90.12 beta=114.42 gamma=90.00
Fractional positions:
Na  0.746  0.000  0.000
Na  0.372  0.275  0.744
Na  0.108  0.236  0.217
Na  0.892  0.764  0.783
Na  0.000  0.500  0.500
Na  0.254  0.000  0.000
Na  0.628  0.725  0.256
Na  0.500  0.500  0.500
Ti  0.500  0.000  0.500
Ti  0.000  0.000  0.500
As  0.870  0.278  0.740
As  0.612  0.240  0.223
As  0.130  0.722  0.260
As  0.388  0.760  0.777
O  0.841  0.128  0.286
O  0.494  0.785  0.988
O  0.159  0.872  0.714
O  0.857  0.493  0.715
O  0.017  0.212  0.634
O  0.617  0.212  0.634
O  0.555  0.872  0.714
O  0.034  0.816  0.069
O  0.445  0.128  0.286
O  0.758  0.930  0.517
O  0.383  0.788  0.366
O  0.242  0.070  0.483
O  0.143  0.507  0.285
O  0.506  0.215  0.012
O  0.983  0.788  0.366
O  0.344  0.563  0.689
O  0.966  0.184  0.931
O  0.656  0.437  0.311

Results
DFT total energy: -6.374 eV/atom
SG: No. 12
E_form (uncorrected): -2953 kJ/mol of formula units
DOS at the Fermi energy: 0.00 states/eV per cell
crystal system: monoclinic

=====

# PtBrCl2

An optimized crystal structure of PtBrCl2 (PBEsol, the Alexandria database).

Unit cell a=3.285 b=5.105 c=5.105 alpha=90.41 beta=100.90 gamma=100.90
Fractional positions:
Br  0.000  0.000  0.000
Pt  0.000  0.500  0.500
Cl  0.000  0.000  0.500
Cl  0.000  0.500  0.000

Results
E above lowest polymorph: 0 meV/atom
DFT total energy: -2.726 eV/atom
SG: No. 12
E_form (uncorrected): 188 kJ/mol of formula units
DOS at the Fermi energy: 2.91 states/eV per cell
crystal system: monoclinic

=====

# NbZnSeBr2

An optimized crystal structure of NbZnSeBr2 (PBEsol, the Alexandria database).

Unit cell a=4.866 b=4.866 c=4.989 alpha=90.00 beta=90.00 gamma=90.00
Site moments in Bohr magnetons follow the coordinates.
Fractional positions:
Zn  0.000  0.000  0.000  0.01
Nb  0.500  0.500  0.500  2.56
Se  0.000  0.000  0.500  -0.15
Br  0.000  0.500  0.000  -0.04
Br  0.500  0.000  0.000  -0.04

Results
DFT total energy: -3.563 eV/atom
SG: No. 123
E_form (uncorrected): 210 kJ/mol of formula units
DOS at the Fermi energy: 3.52 states/eV per cell
crystal system: tetragonal

=====

# BaAuSe2N

An optimized crystal structure of BaAuSe2N (PBEsol, the Alexandria database).

Unit cell a=3.998 b=5.340 c=5.340 alpha=90.00 beta=90.00 gamma=90.00
Site moments in Bohr magnetons follow the coordinates.
Fractional positions:
Au  0.000  0.000  0.000  0.15
Ba  0.500  0.500  0.500  0.00
Se  0.000  0.000  0.500  0.09
Se  0.000  0.500  0.000  0.09
N  0.500  0.000  0.000  0.88

Results
DFT total energy: -4.559 eV/atom
SG: No. 123
E_form (uncorrected): -48 kJ/mol of formula units
DOS at the Fermi energy: 2.81 states/eV per cell
crystal system: tetragonal

=====

# TlCd3

An optimized crystal structure of TlCd3 (PBEsol, the Alexandria database).

Unit cell a=3.258 b=3.258 c=10.116 alpha=80.73 beta=80.73 gamma=60.00
Fractional positions:
Tl  0.000  0.000  0.000
Cd  0.755  0.755  0.736
Cd  0.500  0.500  0.500
Cd  0.245  0.245  0.264

Results
DFT total energy: -1.503 eV/atom
SG: No. 166
DOS at the Fermi energy: 1.39 states/eV per cell
crystal system: trigonal
energy of formation: 0.05 eV per atom

=====

# YSi2IrI

An optimized crystal structure of YSi2IrI (PBEsol, the Alexandria database).

Unit cell a=4.972 b=5.334 c=5.334 alpha=90.00 beta=90.00 gamma=90.00
Fractional positions:
I  0.500  0.500  0.500
Y  0.000  0.000  0.000
Si  0.000  0.000  0.500
Si  0.000  0.500  0.000
Ir  0.500  0.000  0.000

Results
DFT total energy: -4.534 eV/atom
SG: No. 123
E_form (uncorrected): 698 kJ/mol of formula units
DOS at the Fermi energy: 7.40 states/eV per cell
crystal system: tetragonal

=====

# Co2MoOs

An optimized crystal structure of Co2MoOs (PBEsol, the Alexandria database).

Unit cell a=2.655 b=2.655 c=8.515 alpha=81.03 beta=81.03 gamma=60.00
Site moments in Bohr magnetons follow the coordinates.
Fractional positions:
Co  0.004  0.004  0.989  1.53
Co  0.745  0.745  0.765  1.35
Mo  0.498  0.498  0.507  -0.04
Os  0.254  0.254  0.239  0.05

Results
E above lowest polymorph: 280 meV/atom
DFT total energy: -9.621 eV/atom
SG: No. 160
DOS at the Fermi energy: 5.18 states/eV per cell
crystal system: trigonal
energy of formation: 0.24 eV per atom

=====

# KTl2

An optimized crystal structure of KTl2 (PBEsol, the Alexandria database).

Unit cell a=3.689 b=5.374 c=5.374 alpha=120.00 beta=90.00 gamma=90.00
Fractional positions:
Tl  0.500  0.333  0.667
Tl  0.500  0.667  0.333
K  0.000  0.000  0.000

Results
E above lowest polymorph: 11 meV/atom
DFT total energy: -2.215 eV/atom
SG: No. 191
DOS at the Fermi energy: 1.36 states/eV per cell
crystal system: hexagonal
energy of formation: -0.08 eV per atom

=====

# KAl2BiRu

An optimized crystal structure of KAl2BiRu (PBEsol, the Alexandria database).

Unit cell a=4.775 b=4.775 c=5.365 alpha=90.00 beta=90.00 gamma=90.00
Fractional positions:
Ru  0.000  0.000  0.000
K  0.000  0.000  0.500
Bi  0.500  0.500  0.500
Al  0.000  0.500  0.000
Al  0.500  0.000  0.000

Results
DFT total energy: -4.197 eV/atom
SG: No. 123
DOS at the Fermi energy: 6.48 states/eV per cell
crystal system: tetragonal
energy of formation: 0.56 eV per atom

=====

# YBe2P

An optimized crystal structure of YBe2P (PBEsol, the Alexandria database).

Unit cell a=3.484 b=3.484 c=5.072 alpha=90.00 beta=90.00 gamma=90.00
Fractional positions:
Y  0.500  0.500  0.688
P  0.000  0.000  0.444
Be  0.000  0.500  0.182
Be  0.500  0.000  0.182

Results
DFT total energy: -5.511 eV/atom
SG: No. 99
DOS at the Fermi energy: 2.07 states/eV per cell
crystal system: tetragonal
energy of formation: -0.36 eV per atom

=====

# Ca4BeTl

An optimized crystal structure of Ca4BeTl (PBEsol, the Alexandria database).

Unit cell a=6.518 b=6.518 c=6.518 alpha=60.00 beta=60.00 gamma=60.00
Fractional positions:
Be  0.000  0.000  0.000
Ca  0.375  0.375  0.375
Ca  0.375  0.375  0.875
Ca  0.875  0.375  0.375
Ca  0.375  0.875  0.375
Tl  0.750  0.750  0.750

Results
DFT total energy: -1.899 eV/atom
SG: No. 216
DOS at the Fermi energy: 7.38 states/eV per cell
crystal system: cubic
energy of formation: 0.63 eV per atom

=====

# LiSiRu

An optimized crystal structure of LiSiRu (PBEsol, the Alexandria database).

Unit cell a=3.056 b=3.056 c=4.400 alpha=110.32 beta=110.32 gamma=90.00
Fractional positions:
Ru  0.673  0.673  0.346
Si  0.325  0.325  0.651
Li  0.002  0.002  0.003

Results
DFT total energy: -6.327 eV/atom
SG: No. 107
E_form (uncorrected): -106 kJ/mol of formula units
DOS at the Fermi energy: 1.04 states/eV per cell
crystal system: tetragonal